Record 1
The following is a GGA-PBEsol calculation of a geometry-optimized SrTl3 structure, from the Alexandria database.

The formation energy comes out at -0.28 eV per atom. The total moment is 0.00 μB per cell. As for the raw total energy: -2.71 eV per atom.

The structure belongs to space group I4/mmm (No. 139); the cell edges are 4.909, 4.909 and 9.627 Å and the angles 90.00°, 90.00° and 90.00°. The inequivalent atoms are Sr at (0.000, 0.000, 0.000), Tl at (0.000, 0.000, 0.500) and Tl at (0.000, 0.500, 0.250).


Record 2
The following is a GGA-PBEsol calculation of a geometry-optimized Ni4B3 structure, from the Alexandria database.

The formation energy comes out at -0.35 eV per atom. The total moment is 0.00 μB per cell. As for the raw total energy: -6.87 eV per atom. Its energy relative to the lowest polymorph listed for this composition is 0.005 eV/atom.

The structure belongs to space group C2/c (No. 15); the cell edges are 6.313, 4.825 and 7.751 Å and the angles 90.00°, 101.92° and 90.00°. The inequivalent atoms are Ni at (0.045, 0.247, 0.491), Ni at (0.204, 0.428, 0.790), B at (0.000, 0.074, 0.750) and B at (0.235, 0.076, 0.941).


Record 3
The following is a GGA-PBEsol calculation of a geometry-optimized Y3Os structure, from the Alexandria database.

The formation energy comes out at 0.12 eV per atom. The total moment is 0.00 μB per cell. As for the raw total energy: -8.05 eV per atom.

The structure belongs to space group P2/m (No. 10); the cell edges are 3.457, 4.516 and 6.331 Å and the angles 90.00°, 105.03° and 90.00°. The inequivalent atoms are Y at (0.000, 0.000, 0.000), Y at (0.395, 0.500, 0.716) and Os at (0.000, 0.000, 0.500).


Record 4
The following is a GGA-PBEsol calculation of a geometry-optimized ScBe2Zn2 structure, from the Alexandria database.

The formation energy comes out at -0.09 eV per atom. The total moment is 0.00 μB per cell. As for the raw total energy: -3.65 eV per atom.

The structure belongs to space group I4/mmm (No. 139); the cell edges are 3.821, 3.821 and 9.328 Å and the angles 90.00°, 90.00° and 90.00°. The inequivalent atoms are Sc at (0.000, 0.000, 0.000), Be at (0.000, 0.500, 0.250) and Zn at (0.000, 0.000, 0.374).


Record 5
The following is a GGA-PBEsol calculation of a geometry-optimized KTbMo2O8 structure, from the Alexandria database.

The total moment is 0.00 μB per cell. As for the raw total energy: -8.44 eV per atom.

The structure belongs to space group Pbcn (No. 60); the cell edges are 5.077, 18.304 and 7.867 Å and the angles 90.00°, 90.00° and 90.00°. The inequivalent atoms are K at (0.000, 0.228, 0.250), Tb at (0.000, 0.005, 0.750), Mo at (0.019, 0.399, 0.517), O at (0.110, 0.312, 0.980), O at (0.229, 0.401, 0.338), O at (0.240, 0.406, 0.693) and O at (0.250, 0.034, 0.505).


Record 6
The following is a GGA-PBEsol calculation of a geometry-optimized NiMoSe2Br structure, from the Alexandria database.

The total moment is 0.91 μB per cell. As for the raw total energy: -4.77 eV per atom.

The structure belongs to space group P4/mmm (No. 123); the cell edges are 4.767, 4.767 and 5.195 Å and the angles 90.00°, 90.00° and 90.00°. The inequivalent atoms are Ni at (0.000, 0.000, 0.000), Mo at (0.500, 0.500, 0.500), Se at (0.000, 0.500, 0.500) and Br at (0.500, 0.500, 0.000).


Record 7
The following is a GGA-PBEsol calculation of a geometry-optimized ZrTi3Tl structure, from the Alexandria database.

The formation energy comes out at 1.28 eV per atom. The total moment is 3.15 μB per cell. As for the raw total energy: -6.06 eV per atom.

The structure belongs to space group Pm-3m (No. 221); the cell edges are 4.969, 4.969 and 4.969 Å and the angles 90.00°, 90.00° and 90.00°. The inequivalent atoms are Zr at (0.000, 0.000, 0.000), Ti at (0.000, 0.500, 0.500) and Tl at (0.500, 0.500, 0.500).


Record 8
The following is a GGA-PBEsol calculation of a geometry-optimized RbTlRu3 structure, from the Alexandria database.

The formation energy comes out at 2.96 eV per atom. The total moment is 5.24 μB per cell. As for the raw total energy: -3.88 eV per atom.

The structure belongs to space group Pm-3m (No. 221); the cell edges are 4.778, 4.778 and 4.778 Å and the angles 90.00°, 90.00° and 90.00°. The inequivalent atoms are Rb at (0.000, 0.000, 0.000), Tl at (0.500, 0.500, 0.500) and Ru at (0.000, 0.000, 0.500).